PuMgSc | PBE | optimized geometry

Lattice parameters (Å, degrees): 3.308 5.148 8.704 90.00 79.01 90.01
Each line ends with the local moment (μB).
Element x y z (fractional)
Pu (0.185, 0.762, 0.941)  5.37
Pu (0.738, 0.262, 0.837)  5.37
Mg (0.515, 0.762, 0.280)  0.00
Mg (0.408, 0.262, 0.498)  0.00
Sc (0.853, 0.762, 0.606)  0.05
Sc (0.070, 0.262, 0.172)  0.05

Output
distance to the lowest polymorph of the same formula = 0 meV per atom
crystal system = monoclinic
density of states at the Fermi level = 16.0 states/eV per cell

=====

Pu2Mg2Sc7 | PBE | optimized geometry

Lattice parameters (Å, degrees): 6.211 6.734 6.734 100.11 82.60 82.60
Each line ends with the local moment (μB).
Element x y z (fractional)
Pu (0.500, 0.357, 0.643)  5.60
Pu (0.500, 0.643, 0.357)  5.60
Mg (0.948, 0.353, 0.353)  0.00
Mg (0.052, 0.647, 0.647)  0.00
Sc (0.212, 0.064, 0.582)  0.16
Sc (0.788, 0.418, 0.936)  0.16
Sc (0.788, 0.936, 0.418)  0.16
Sc (0.212, 0.582, 0.064)  0.16
Sc (0.000, 0.000, 0.000)  -0.21
Sc (0.560, 0.824, 0.824)  0.09
Sc (0.440, 0.176, 0.176)  0.09

Output
DFT total energy = -73.32 eV/cell
crystal system = monoclinic
density of states at the Fermi level = 21.5 states/eV per cell

=====

PuMgSc3 | PBE | optimized geometry

Lattice parameters (Å, degrees): 5.583 6.258 8.231 67.66 90.00 90.00
Each line ends with the local moment (μB).
Element x y z (fractional)
Pu (0.750, 0.558, 0.884)  5.62
Pu (0.250, 0.442, 0.116)  5.62
Mg (0.750, 0.174, 0.651)  0.00
Mg (0.250, 0.826, 0.349)  0.00
Sc (0.750, 0.592, 0.316)  0.18
Sc (0.750, 0.091, 0.316)  0.18
Sc (0.250, 0.909, 0.684)  0.18
Sc (0.250, 0.408, 0.684)  0.18
Sc (0.000, 0.000, 0.000)  0.13
Sc (0.500, 0.000, 0.000)  0.13

Output
DFT total energy = -66.77 eV/cell
crystal system = orthorhombic
density of states at the Fermi level = 24.7 states/eV per cell

=====

PuMgSc2 | PBE | optimized geometry

Lattice parameters (Å, degrees): 5.178 5.178 5.178 60.00 60.00 60.00
Each line ends with the local moment (μB).
Element x y z (fractional)
Sc (0.250, 0.250, 0.250)  0.31
Sc (0.750, 0.750, 0.750)  0.31
Mg (0.500, 0.500, 0.500)  -0.01
Pu (0.000, 0.000, 0.000)  5.59

Output
distance to the lowest polymorph of the same formula = 101 meV per atom
crystal system = cubic
density of states at the Fermi level = 9.2 states/eV per cell